Entry 1:
Compound: SrScW2
Source: Alexandria via LeMat-Bulk
Functional: meta-GGA SCAN
Structure: PBEsol geometry

a = 3.9436 Å, b = 3.9436 Å, c = 5.7552 Å
α = 110.04°, β = 110.04°, γ = 90.00°
With the nearest neighbours (Å) after each atom.
Element x y z (fractional)
Sr 0.5000 0.5000 0.0000  4 Sc 2.79
Sc 0.0000 0.0000 0.0000  4 Sr 2.79
W 0.2500 0.7500 0.5000  4 W 2.79
W 0.7500 0.2500 0.5000  4 W 2.79

density	10.6	g cm⁻³
E_tot	-42.853	eV per atom
distance to the lowest polymorph of the same formula	375.5	meV/atom

---

Entry 2:
Compound: SrYSc2W
Source: Alexandria via LeMat-Bulk
Functional: meta-GGA SCAN
Structure: PBEsol geometry

a = 5.0329 Å, b = 5.0329 Å, c = 5.4537 Å
α = 90.00°, β = 90.00°, γ = 90.00°
With the nearest neighbours (Å) after each atom.
Element x y z (fractional)
Sr 0.0000 0.0000 0.5000  2 Y 2.73
W 0.5000 0.5000 0.5000  4 Sr 3.56, 8 Sc 3.71
Y 0.0000 0.0000 0.0000  4 Sc 2.52, 2 Sr 2.73
Sc 0.5000 0.0000 0.0000  2 Y 2.52
Sc 0.0000 0.5000 0.0000  2 Y 2.52

density	5.4	g cm⁻³
E_tot	-27.688	eV per atom

---

Entry 3:
Compound: SrYSc3
Source: Alexandria via LeMat-Bulk
Functional: meta-GGA SCAN
Structure: PBEsol geometry

a = 5.2060 Å, b = 5.2060 Å, c = 5.2060 Å
α = 90.00°, β = 90.00°, γ = 90.00°
With the nearest neighbours (Å) after each atom.
Element x y z (fractional)
Sc 0.0000 0.5000 0.0000  2 Sr 2.60
Sc 0.5000 0.0000 0.0000  2 Sr 2.60
Sc 0.0000 0.0000 0.5000  2 Sr 2.60
Y 0.5000 0.5000 0.5000  12 Sc 3.68
Sr 0.0000 0.0000 0.0000  6 Sc 2.60

density	3.7	g cm⁻³
E_tot	-17.535	eV per atom

---

Entry 4:
Compound: SrScZn4
Source: Alexandria via LeMat-Bulk
Functional: meta-GGA SCAN
Structure: PBEsol geometry

a = 5.3958 Å, b = 5.3958 Å, c = 5.3958 Å
α = 60.00°, β = 60.00°, γ = 60.00°
With the nearest neighbours (Å) after each atom.
Element x y z (fractional)
Zn 0.8707 0.3764 0.3764  6 Zn 2.67-2.73
Zn 0.3764 0.3764 0.3764  6 Zn 2.67-2.73
Zn 0.3764 0.3764 0.8707  6 Zn 2.67-2.73
Zn 0.3764 0.8707 0.3764  6 Zn 2.67-2.73
Sr 0.0000 0.0000 0.0000  12 Zn 3.17, 4 Sc 3.30
Sc 0.7500 0.7500 0.7500  12 Zn 3.16, 4 Sr 3.30

density	5.9	g cm⁻³
E_tot	-15.336	eV per atom

---

Entry 5:
Compound: SrScZn2
Source: Alexandria via LeMat-Bulk
Functional: meta-GGA SCAN
Structure: PBEsol geometry

a = 3.5284 Å, b = 3.5284 Å, c = 7.1413 Å
α = 90.00°, β = 90.00°, γ = 90.00°
With the nearest neighbours (Å) after each atom.
Element x y z (fractional)
Zn 0.0000 0.0000 0.1937  1 Zn 2.77, 4 Sc 2.85
Zn 0.0000 0.0000 0.8063  1 Zn 2.77, 4 Sc 2.85
Sc 0.5000 0.5000 0.0000  8 Zn 2.85
Sr 0.5000 0.5000 0.5000  8 Zn 3.32, 4 Sr 3.53, 2 Sc 3.57

density	4.9	g cm⁻³
E_tot	-16.192	eV per atom

---

Entry 6:
Compound: SrScZn3
Source: Alexandria via LeMat-Bulk
Functional: meta-GGA SCAN
Structure: PBEsol geometry

a = 5.2254 Å, b = 5.2254 Å, c = 5.2254 Å
α = 90.00°, β = 90.00°, γ = 90.00°
With the nearest neighbours (Å) after each atom.
Element x y z (fractional)
Sr 0.0000 0.0000 0.0000  6 Zn 2.61
Zn 0.5000 0.0000 0.0000  2 Sr 2.61
Zn 0.0000 0.5000 0.0000  2 Sr 2.61
Zn 0.0000 0.0000 0.5000  2 Sr 2.61
Sc 0.5000 0.5000 0.5000  12 Zn 3.69

density	3.8	g cm⁻³
E_tot	-14.375	eV per atom
distance to the lowest polymorph of the same formula	793.1	meV/atom

---

Entry 7:
Compound: SrScZn3
Source: Alexandria via LeMat-Bulk
Functional: meta-GGA SCAN
Structure: PBEsol geometry

a = 5.1167 Å, b = 5.1167 Å, c = 5.1167 Å
α = 90.00°, β = 90.00°, γ = 90.00°
With the nearest neighbours (Å) after each atom.
Element x y z (fractional)
Zn 0.0000 0.5000 0.0000  2 Sc 2.56
Zn 0.5000 0.0000 0.0000  2 Sc 2.56
Zn 0.0000 0.0000 0.5000  2 Sc 2.56
Sc 0.0000 0.0000 0.0000  6 Zn 2.56
Sr 0.5000 0.5000 0.5000  12 Zn 3.62

density	4.1	g cm⁻³
E_tot	-15.168	eV per atom
distance to the lowest polymorph of the same formula	0.0	meV/atom

---

Entry 8:
Compound: SrZrSc2
Source: Alexandria via LeMat-Bulk
Functional: meta-GGA SCAN
Structure: PBEsol geometry

a = 4.8731 Å, b = 4.8731 Å, c = 5.6188 Å
α = 115.70°, β = 115.70°, γ = 90.00°
With the nearest neighbours (Å) after each atom.
Element x y z (fractional)
Sc 0.2500 0.7500 0.5000  4 Zr 3.30, 4 Sr 3.30, 4 Sc 3.45
Sc 0.7500 0.2500 0.5000  4 Zr 3.30, 4 Sr 3.30, 4 Sc 3.45
Zr 0.0000 0.0000 0.0000  8 Sc 3.30, 4 Sr 3.45
Sr 0.5000 0.5000 0.0000  8 Sc 3.30, 4 Zr 3.45

density	4.2	g cm⁻³
E_tot	-19.929	eV per atom
distance to the lowest polymorph of the same formula	12.9	meV/atom

---

Entry 9:
Compound: SrZr2Sc
Source: Alexandria via LeMat-Bulk
Functional: meta-GGA SCAN
Structure: PBEsol geometry

a = 3.2814 Å, b = 3.2814 Å, c = 9.9456 Å
α = 90.00°, β = 90.00°, γ = 89.90°
With the nearest neighbours (Å) after each atom.
Element x y z (fractional)
Zr 0.5000 0.5000 0.7523  8 Zr 3.09-3.28, 4 Sc 3.11
Zr 0.0000 0.0000 0.9578  8 Zr 3.09-3.28
Sc 0.0000 0.0000 0.5439  4 Zr 3.11, 4 Sc 3.28
Sr 0.5000 0.5000 0.2460  4 Sr 3.28

density	4.9	g cm⁻³
E_tot	-24.189	eV per atom
distance to the lowest polymorph of the same formula	0.0	meV/atom

---

Entry 10:
Compound: SrZrSc2
Source: Alexandria via LeMat-Bulk
Functional: meta-GGA SCAN
Structure: PBEsol geometry

a = 3.4321 Å, b = 5.5713 Å, c = 6.5047 Å
α = 115.36°, β = 105.30°, γ = 90.00°
With the nearest neighbours (Å) after each atom.
Element x y z (fractional)
Sc 0.9966 0.9966 0.9931  2 Zr 3.04, 2 Sc 3.14, 4 Sr 3.27
Sc 0.7301 0.2301 0.4602  4 Sc 3.14-3.43, 4 Zr 3.31, 2 Sr 3.49
Zr 0.2729 0.7729 0.5457  6 Sc 3.04-3.31
Sr 0.5005 0.5005 0.0009  6 Sc 3.27-3.49, 2 Sr 3.43, 2 Zr 3.51

density	4.2	g cm⁻³
E_tot	-19.942	eV per atom
distance to the lowest polymorph of the same formula	0.0	meV/atom

---

Entry 11:
Compound: SrZr2Sc
Source: Alexandria via LeMat-Bulk
Functional: meta-GGA SCAN
Structure: PBEsol geometry

a = 3.2071 Å, b = 5.6803 Å, c = 6.0528 Å
α = 96.86°, β = 90.00°, γ = 106.40°
With the nearest neighbours (Å) after each atom.
Element x y z (fractional)
Zr 0.2591 0.5182 0.2914  4 Zr 3.02-3.21, 3 Sc 3.20-3.23, 1 Sr 3.34
Zr 0.7409 0.4818 0.7086  4 Zr 3.02-3.21, 3 Sc 3.20-3.23, 1 Sr 3.34
Sr 0.5000 0.0000 0.0000  2 Sr 3.21, 6 Zr 3.34-3.52, 4 Sc 3.42
Sc 0.0000 0.0000 0.5000  6 Zr 3.20-3.23, 2 Sc 3.21, 4 Sr 3.42

density	5.0	g cm⁻³
E_tot	-24.070	eV per atom
distance to the lowest polymorph of the same formula	118.8	meV/atom

---

Entry 12:
Compound: SrZr2Sc
Source: Alexandria via LeMat-Bulk
Functional: meta-GGA SCAN
Structure: PBEsol geometry

a = 3.1899 Å, b = 5.1408 Å, c = 6.8254 Å
α = 90.00°, β = 101.79°, γ = 90.00°
With the nearest neighbours (Å) after each atom.
Element x y z (fractional)
Zr 0.2833 0.0000 0.1874  2 Zr 2.81-3.15, 2 Sc 3.01
Zr 0.7167 0.0000 0.8126  2 Zr 2.81-3.15, 2 Sc 3.01
Sr 0.0000 0.5000 0.5000  2 Sr 3.19, 2 Sc 3.46
Sc 0.5000 0.5000 0.0000  4 Zr 3.01, 2 Sc 3.19

density	4.8	g cm⁻³
E_tot	-24.066	eV per atom
distance to the lowest polymorph of the same formula	122.4	meV/atom

---

Entry 13:
Compound: ScTa
Source: Alexandria via LeMat-Bulk
Functional: meta-GGA SCAN
Structure: PBEsol geometry

a = 4.7361 Å, b = 4.7361 Å, c = 4.9204 Å
α = 90.00°, β = 90.00°, γ = 120.00°
With the nearest neighbours (Å) after each atom.
Element x y z (fractional)
Sc 0.6667 0.3333 0.7500  6 Ta 3.00
Sc 0.3333 0.6667 0.2500  6 Ta 3.00
Ta 0.0000 0.0000 0.0000  2 Ta 2.46
Ta 0.0000 0.0000 0.5000  2 Ta 2.46

density	7.8	g cm⁻³
E_tot	-39.498	eV per atom
distance to the lowest polymorph of the same formula	808.9	meV/atom

---

Entry 14:
Compound: Sc2Ta
Source: Alexandria via LeMat-Bulk
Functional: meta-GGA SCAN
Structure: PBEsol geometry

a = 2.9412 Å, b = 5.0025 Å, c = 5.0025 Å
α = 90.00°, β = 90.00°, γ = 90.00°
With the nearest neighbours (Å) after each atom.
Element x y z (fractional)
Ta 0.0000 0.0000 0.0000  8 Sc 2.90, 2 Ta 2.94
Sc 0.5000 0.5000 0.0000  4 Ta 2.90, 2 Sc 2.94
Sc 0.5000 0.0000 0.5000  4 Ta 2.90, 2 Sc 2.94

density	6.1	g cm⁻³
E_tot	-31.088	eV per atom
distance to the lowest polymorph of the same formula	369.5	meV/atom

---

Entry 15:
Compound: ScTa3
Source: Alexandria via LeMat-Bulk
Functional: meta-GGA SCAN
Structure: PBEsol geometry

a = 4.2112 Å, b = 4.2112 Å, c = 4.2112 Å
α = 90.00°, β = 90.00°, γ = 90.00°
With the nearest neighbours (Å) after each atom.
Element x y z (fractional)
Ta 0.5000 0.5000 0.0000  8 Ta 2.98, 4 Sc 2.98
Ta 0.5000 0.0000 0.5000  8 Ta 2.98, 4 Sc 2.98
Ta 0.0000 0.5000 0.5000  8 Ta 2.98, 4 Sc 2.98
Sc 0.0000 0.0000 0.0000  12 Ta 2.98

density	13.1	g cm⁻³
E_tot	-53.185	eV per atom
distance to the lowest polymorph of the same formula	176.5	meV/atom